Compound: CoReW4
Source: Alexandria via LeMat-Bulk
Functional: PBE-GGA
Structure: optimized geometry

Computed properties:
V = 97.5 Å³ per cell
Total moment = 1.27 μB per formula unit
E_form = 13.84 kcal/mol of atoms

a = 5.1670 Å, b = 5.1670 Å, c = 5.1670 Å
α = 60.00°, β = 60.00°, γ = 60.00°
With the nearest neighbours (Å) after each atom.
Positions (direct):
Co  0.7500  0.7500  0.7500  12 W 3.03, 4 Re 3.16
Re  0.0000  0.0000  0.0000  12 W 3.03, 4 Co 3.16
W  0.8739  0.3754  0.3754  6 W 2.58-2.59
W  0.3754  0.3754  0.8739  6 W 2.58-2.59
W  0.3754  0.8739  0.3754  6 W 2.58-2.59
W  0.3754  0.3754  0.3754  6 W 2.58-2.59